Below is crystalline Zn2CoOsO at its relaxed geometry, with properties calculated at the GGA+U level.

Results
E_tot = -3.3695 eV per atom

Lattice parameters (Å, degrees): 4.431 4.431 4.298 90.00 90.00 90.00
Fractional positions:
1 Zn 0.000 0.500 0.000
2 Zn 0.500 0.000 0.000
3 Co 0.000 0.000 0.000
4 Os 0.000 0.000 0.500
5 O 0.500 0.500 0.500